Compound: BaTi2GeC
Source: the Alexandria database
Functional: PBE-GGA
Structure: optimized geometry

Cell lengths 4.774, 4.774, 6.172 Å; angles 90.00, 90.00, 90.00 degrees
Fractional coordinates of all 5 atoms:
Ba (0.000, 0.000, 0.000)
Ti (0.000, 0.500, 0.500)
Ti (0.500, 0.000, 0.500)
Ge (0.000, 0.000, 0.500)
C (0.500, 0.500, 0.000)

Calculated formation energy: 1.506 eV/atom
Crystal system: tetragonal
Final energy: -4.805 eV per atom